(A)
SrYAl2 | meta-GGA SCAN | PBEsol geometry Values from VASP.

Summary:
**Total magnetization**: 2.0 μB/f.u.
**Space group**: F-43m, No. 216
**Calculated density**: 3.80 g cm⁻³
**V**: 25.17 A^3/atom

The structure in Quantum ESPRESSO input format:
```
&SYSTEM
  ibrav = 0, nat = 4, ntyp = 3
/
ATOMIC_SPECIES
Y 88.91 Y.upf
Sr 87.62 Sr.upf
Al 26.98 Al.upf
ATOMIC_POSITIONS angstrom
Y 2.6109 1.5074 1.0659
Sr 5.2219 3.0148 2.1318
Al 0.0000 0.0000 0.0000
Al 7.8328 4.5223 3.1977
CELL_PARAMETERS angstrom
5.2219 0.0000 0.0000
2.6109 4.5223 0.0000
2.6109 1.5074 4.2636
```

***

(B)
SrYAl2 | meta-GGA SCAN | PBEsol geometry Values from VASP.

Summary:
**Total magnetization**: 0.0 μB/f.u.
**Space group**: Pmm2, No. 25
**Calculated density**: 3.60 g cm⁻³
**V**: 26.58 A^3/atom

The structure in Quantum ESPRESSO input format:
```
&SYSTEM
  ibrav = 0, nat = 4, ntyp = 3
/
ATOMIC_SPECIES
Y 88.91 Y.upf
Al 26.98 Al.upf
Sr 87.62 Sr.upf
ATOMIC_POSITIONS angstrom
Y 1.7575 2.2795 5.3194
Al 1.7575 2.2795 1.5825
Al 0.0000 0.0000 6.5470
Sr 0.0000 0.0000 3.1414
CELL_PARAMETERS angstrom
3.5149 0.0000 0.0000
0.0000 4.5589 0.0000
0.0000 0.0000 6.6361
```

***

Relative energies in eV/atom: (A) 0.096; (B) 0.000

***

(A)
Ta5Al3 | meta-GGA SCAN | PBEsol geometry Values from VASP.

Summary:
**Total magnetization**: 0.0 μB/f.u.
**Space group**: I4/mcm, No. 140
**Calculated density**: 12.26 g cm⁻³
**V**: 16.69 A^3/atom

The structure in Quantum ESPRESSO input format:
```
&SYSTEM
  ibrav = 0, nat = 16, ntyp = 2
/
ATOMIC_SPECIES
Al 26.98 Al.upf
Ta 180.95 Ta.upf
ATOMIC_POSITIONS angstrom
Al 0.9100 -2.4167 5.8051
Al -0.4526 0.0131 1.1846
Al -1.1148 -3.7935 2.3312
Al 1.2549 -5.5218 8.6865
Al -0.7698 -6.8985 5.2127
Al -1.3579 0.0392 3.5538
Ta 2.7972 -4.2379 6.5463
Ta -2.9976 -6.4656 7.0721
Ta -0.3826 -4.6446 6.6935
Ta 1.7750 -6.9651 6.1858
Ta -1.6349 -2.3501 4.8320
Ta 3.1377 -2.8496 3.9457
Ta -0.4538 -7.5491 8.0560
Ta 0.5939 -1.7662 2.9618
Ta -2.6570 -5.0774 4.4715
Ta 0.5227 -4.6707 4.3243
CELL_PARAMETERS angstrom
-1.8105 0.0522 4.7384
-3.4320 -6.7154 1.4781
5.3827 -2.6521 4.8013
```

***

(B)
Ta5Al3 | meta-GGA SCAN | PBEsol geometry Values from VASP.

Summary:
**Total magnetization**: 0.0 μB/f.u.
**Space group**: Cmmm, No. 65
**Calculated density**: 12.23 g cm⁻³
**V**: 16.73 A^3/atom

The structure in Quantum ESPRESSO input format:
```
&SYSTEM
  ibrav = 0, nat = 8, ntyp = 2
/
ATOMIC_SPECIES
Ta 180.95 Ta.upf
Al 26.98 Al.upf
ATOMIC_POSITIONS angstrom
Ta 0.0000 3.0508 0.0028
Ta 1.7975 1.5301 1.5550
Ta 1.7975 4.4789 4.5517
Ta 0.0000 0.0000 0.0000
Ta 0.0000 -0.0463 3.0505
Al 1.7975 4.5585 1.5242
Al 1.7975 1.4505 4.5825
Al 0.0000 3.0045 3.0533
CELL_PARAMETERS angstrom
3.5949 0.0000 0.0000
0.0000 6.1017 0.0057
0.0000 -0.0927 6.1010
```

***

Relative energies in eV/atom: (A) 0.010; (B) 0.000